(1)
The following is a DFT calculation (PBE-GGA) of crystalline Pm3YCo2 at its relaxed geometry.

Cell lengths 8.6250, 8.6250, 11.8805 Å; angles 123.57, 123.57, 25.45 degrees
Closest atoms and distances in Å follow each position.
Sites, in units of the cell vectors:
Pm1 0.0831 0.0831 0.4460  3 Co 2.84-3.03
Pm2 0.0840 0.0840 0.9391  3 Co 2.81-2.98
Pm3 0.3399 0.3399 0.7502  3 Co 2.77-3.02
Pm4 0.6601 0.6601 0.2498  3 Co 2.77-3.02
Pm5 0.9160 0.9160 0.0609  3 Co 2.81-2.98
Pm6 0.9169 0.9169 0.5540  3 Co 2.84-3.03
Y1 0.3393 0.3393 0.2488  3 Co 2.80-2.96
Y2 0.6607 0.6607 0.7512  3 Co 2.80-2.96
Co1 0.2651 0.2651 0.4516  2 Co 2.42
Co2 0.2676 0.2676 0.9566  2 Co 2.39
Co3 0.7324 0.7324 0.0434  2 Co 2.39
Co4 0.7349 0.7349 0.5484  2 Co 2.42

Results
Energy of formation from the pure elements ... -93 meV/atom
SG ... C2/m (12)


(2)
The following is a DFT calculation (PBE-GGA) of crystalline Pm2Y3Co at its relaxed geometry.

Cell lengths 9.5895, 9.5895, 7.2680 Å; angles 100.78, 100.78, 33.94 degrees
Closest atoms and distances in Å follow each position.
Sites, in units of the cell vectors:
Pm1 0.2144 0.2160 0.1082  4 Y 3.45-3.74, 6 Pm 3.56-3.63
Pm2 0.2160 0.2144 0.6082  4 Y 3.45-3.74, 6 Pm 3.56-3.63
Pm3 0.7840 0.7856 0.3918  4 Y 3.45-3.74, 6 Pm 3.56-3.63
Pm4 0.7856 0.7840 0.8918  4 Y 3.45-3.74, 6 Pm 3.56-3.63
Y1 0.0321 0.9679 0.2500  2 Co 2.74-2.86
Y2 0.3968 0.3970 0.4493  2 Co 2.61
Y3 0.3970 0.3968 0.9493  2 Co 2.61
Y4 0.6030 0.6032 0.0507  2 Co 2.61
Y5 0.6032 0.6030 0.5507  2 Co 2.61
Y6 0.9679 0.0321 0.7500  2 Co 2.74-2.86
Co1 0.4569 0.5431 0.7500  6 Y 2.61-2.86
Co2 0.5431 0.4569 0.2500  6 Y 2.61-2.86

Results
Energy of formation from the pure elements ... 44 meV/atom
SG ... C2/c (15)


(3)
The following is a DFT calculation (PBE-GGA) of crystalline Pm2Y3Co2 at its relaxed geometry.

Cell lengths 6.3794, 6.3794, 9.0454 Å; angles 114.61, 114.61, 33.24 degrees
Closest atoms and distances in Å follow each position.
Sites, in units of the cell vectors:
Pm1 0.1724 0.1724 0.3028  2 Co 2.73
Pm2 0.8276 0.8276 0.6972  2 Co 2.73
Y1 0.3817 0.3817 0.0766  3 Co 2.76-2.97
Y2 0.5000 0.5000 0.5000  4 Co 2.95
Y3 0.6183 0.6183 0.9234  3 Co 2.76-2.97
Co1 0.1784 0.1784 0.7417  2 Pm 2.73, 5 Y 2.76-2.97
Co2 0.8216 0.8216 0.2583  2 Pm 2.73, 5 Y 2.76-2.97

Results
Energy of formation from the pure elements ... -125 meV/atom
SG ... C2/m (12)


(4)
The following is a DFT calculation (PBE-GGA) of crystalline PmYCo10 at its relaxed geometry.

Cell lengths 3.9405, 4.9569, 8.6044 Å; angles 90.00, 90.00, 90.00 degrees
Closest atoms and distances in Å follow each position.
Sites, in units of the cell vectors:
Pm1 0.0000 0.0000 0.0000  18 Co 2.88-3.19
Y1 0.0000 0.5000 0.5000  18 Co 2.84-3.17
Co1 0.0000 0.0000 0.3353  6 Co 2.43-2.44
Co2 0.0000 0.0000 0.6647  6 Co 2.43-2.44
Co3 0.0000 0.5000 0.1703  6 Co 2.43-2.46
Co4 0.0000 0.5000 0.8297  6 Co 2.43-2.46
Co5 0.5000 0.0000 0.5000  8 Co 2.43-2.47
Co6 0.5000 0.2524 0.2531  8 Co 2.43-2.50
Co7 0.5000 0.2524 0.7469  8 Co 2.43-2.50
Co8 0.5000 0.5000 0.0000  8 Co 2.46-2.50
Co9 0.5000 0.7476 0.2531  8 Co 2.43-2.50
Co10 0.5000 0.7476 0.7469  8 Co 2.43-2.50

Results
Energy of formation from the pure elements ... -79 meV/atom
SG ... Pmmm (47)


(5)
The following is a DFT calculation (PBE-GGA) of crystalline PmY2Co2 at its relaxed geometry.

Cell lengths 7.5428, 7.5428, 4.0808 Å; angles 90.00, 90.00, 149.84 degrees
Closest atoms and distances in Å follow each position.
Sites, in units of the cell vectors:
Pm1 0.0000 0.0000 0.0000  2 Co 3.06
Y1 0.3501 0.6499 0.5000  6 Co 2.88-2.96
Y2 0.6499 0.3501 0.5000  6 Co 2.88-2.96
Co1 0.2102 0.7898 0.0000  2 Co 2.28
Co2 0.7898 0.2102 0.0000  2 Co 2.28

Results
Energy of formation from the pure elements ... -114 meV/atom
SG ... Cmmm (65)


(6)
The following is a DFT calculation (PBE-GGA) of crystalline Pm3Y2Co2 at its relaxed geometry.

Cell lengths 6.3393, 6.3393, 8.9308 Å; angles 114.45, 114.45, 34.62 degrees
Closest atoms and distances in Å follow each position.
Sites, in units of the cell vectors:
Pm1 0.0000 0.0000 0.0000  4 Co 3.00
Pm2 0.1162 0.1162 0.4256  3 Co 2.82-2.91
Pm3 0.8838 0.8838 0.5744  3 Co 2.82-2.91
Y1 0.3261 0.3261 0.1923  2 Co 2.74
Y2 0.6739 0.6739 0.8077  2 Co 2.74
Co1 0.3182 0.3182 0.7568  2 Y 2.74, 5 Pm 2.82-3.00
Co2 0.6818 0.6818 0.2432  2 Y 2.74, 5 Pm 2.82-3.00

Results
Energy of formation from the pure elements ... -100 meV/atom
SG ... C2/m (12)


(7)
The following is a DFT calculation (PBE-GGA) of crystalline Pm3Y3Co4 at its relaxed geometry.

Cell lengths 4.2380, 7.3046, 7.3046 Å; angles 89.48, 90.00, 90.00 degrees
Closest atoms and distances in Å follow each position.
Sites, in units of the cell vectors:
Pm1 0.0000 0.0000 0.0000  6 Co 3.00-3.20
Pm2 0.5000 0.3324 0.8342  4 Co 2.91-3.03
Pm3 0.5000 0.8342 0.3324  4 Co 2.91-3.03
Y1 0.0000 0.1626 0.5036  6 Co 2.95-3.10
Y2 0.0000 0.5036 0.1626  6 Co 2.95-3.10
Y3 0.0000 0.6580 0.6580  6 Co 2.97-3.04
Co1 0.5000 0.2316 0.2316  1 Co 2.24
Co2 0.5000 0.4479 0.4479  1 Co 2.24
Co3 0.5000 0.7171 0.9359  1 Co 2.25
Co4 0.5000 0.9359 0.7171  1 Co 2.25

Results
Energy of formation from the pure elements ... -75 meV/atom
SG ... Amm2 (38)


(8)
The following is a DFT calculation (PBE-GGA) of crystalline Pm4YCo2 at its relaxed geometry.

Cell lengths 7.8094, 6.5405, 7.8207 Å; angles 90.00, 112.96, 90.00 degrees
Closest atoms and distances in Å follow each position.
Sites, in units of the cell vectors:
Pm1 0.0201 0.2500 0.3732  2 Co 2.64-2.82
Pm2 0.2489 0.7500 0.3276  2 Co 2.65-2.91
Pm3 0.4116 0.0029 0.7604  4 Co 3.01-3.13, 2 Pm 3.23-3.31
Pm4 0.4116 0.4971 0.7604  4 Co 3.01-3.13, 2 Pm 3.23-3.31
Pm5 0.5884 0.5029 0.2396  4 Co 3.01-3.13, 2 Pm 3.23-3.31
Pm6 0.5884 0.9971 0.2396  4 Co 3.01-3.13, 2 Pm 3.23-3.31
Pm7 0.7511 0.2500 0.6724  2 Co 2.65-2.91
Pm8 0.9799 0.7500 0.6268  2 Co 2.64-2.82
Y1 0.1587 0.2500 0.0279  1 Co 2.75
Y2 0.8413 0.7500 0.9721  1 Co 2.75
Co1 0.2549 0.7500 0.9914  2 Pm 2.65-2.82
Co2 0.3684 0.2500 0.4034  2 Pm 2.64-2.91, 1 Y 2.75
Co3 0.6316 0.7500 0.5966  2 Pm 2.64-2.91, 1 Y 2.75
Co4 0.7451 0.2500 0.0086  2 Pm 2.65-2.82

Results
Energy of formation from the pure elements ... 29 meV/atom
SG ... P2_1/m (11)


(9)
The following is a DFT calculation (PBE-GGA) of crystalline Pm4Zn3Co at its relaxed geometry.

Cell lengths 3.5909, 3.5909, 14.6185 Å; angles 90.00, 90.00, 90.00 degrees
Closest atoms and distances in Å follow each position.
Sites, in units of the cell vectors:
Pm1 0.0000 0.0000 0.1134  4 Co 3.03, 4 Zn 3.19, 1 Pm 3.32
Pm2 0.0000 0.0000 0.3724  8 Zn 3.14-3.15
Pm3 0.0000 0.0000 0.6276  8 Zn 3.14-3.15
Pm4 0.0000 0.0000 0.8866  4 Co 3.03, 4 Zn 3.19, 1 Pm 3.32
Zn1 0.5000 0.5000 0.2456  8 Pm 3.14-3.19
Zn2 0.5000 0.5000 0.5000  8 Pm 3.15
Zn3 0.5000 0.5000 0.7544  8 Pm 3.14-3.19
Co1 0.5000 0.5000 0.0000  8 Pm 3.03

Results
Energy of formation from the pure elements ... -233 meV/atom
ΔE to the lowest computed polymorph ... 0.0 meV/atom
SG ... P4/mmm (123)


(10)
The following is a DFT calculation (PBE-GGA) of crystalline Pm2ZnCo at its relaxed geometry.

Cell lengths 5.0092, 5.0092, 5.0092 Å; angles 60.00, 60.00, 60.00 degrees
Closest atoms and distances in Å follow each position.
Sites, in units of the cell vectors:
Pm1 0.2500 0.2500 0.2500  4 Co 3.07, 4 Zn 3.07
Pm2 0.7500 0.7500 0.7500  4 Co 3.07, 4 Zn 3.07
Zn1 0.0000 0.0000 0.0000  8 Pm 3.07
Co1 0.5000 0.5000 0.5000  8 Pm 3.07

Results
Energy of formation from the pure elements ... -131 meV/atom
ΔE to the lowest computed polymorph ... 49.9 meV/atom
SG ... Fm-3m (225)


Q: What is the energy of formation from the pure elements in the second record?
A: 44 meV/atom